1.
{"formula": "SrY2Cd", "functional": "PBEsol", "state": "optimized geometry", "ef_ev_per_atom": 0.0439, "lattice_angstrom": [[4.055, 0.000, 0.000], [0.000, 5.459, 0.000], [0.000, 0.000, 5.491]], "species": ["Cd", "Y", "Y", "Sr"], "frac_coords": [[0.500, 0.500, 0.000], [0.500, 0.000, 0.500], [0.000, 0.000, 0.000], [0.000, 0.500, 0.500]]}

***

2.
{"formula": "LaMg2In", "functional": "PBEsol", "state": "optimized geometry", "ef_ev_per_atom": -0.2733, "lattice_angstrom": [[4.647, 0.000, 0.000], [0.000, 4.647, 0.000], [0.000, 0.000, 4.883]], "species": ["La", "Mg", "In", "Mg"], "frac_coords": [[0.000, 0.000, 0.500], [0.000, 0.500, 0.000], [0.500, 0.500, 0.500], [0.500, 0.000, 0.000]]}

***

3.
{"formula": "LiMg2Tl2", "functional": "PBEsol", "state": "optimized geometry", "ef_ev_per_atom": -0.0871, "lattice_angstrom": [[-1.169, -3.512, -0.986], [4.081, 0.512, -6.662], [6.240, -3.083, 3.586]], "species": ["Tl", "Mg", "Tl", "Li", "Mg", "Tl", "Mg", "Li", "Mg", "Tl"], "frac_coords": [[0.000, 0.652, 0.152], [0.500, 0.350, 0.150], [0.000, 0.152, 0.348], [0.000, 0.000, 0.000], [0.500, 0.650, 0.850], [0.000, 0.848, 0.652], [0.500, 0.850, 0.350], [0.000, 0.500, 0.500], [0.500, 0.150, 0.650], [0.000, 0.348, 0.848]]}

***

4.
{"formula": "TmCo4B", "functional": "PBEsol", "state": "optimized geometry", "ef_ev_per_atom": -0.3578, "lattice_angstrom": [[4.881, 0.000, 0.000], [-2.440, 4.227, 0.000], [0.000, 0.000, 6.751]], "species": ["Co", "Co", "Co", "B", "Co", "Co", "Tm", "Co", "Co", "Co", "B", "Tm"], "frac_coords": [[0.500, 0.000, 0.714], [0.333, 0.667, 0.000], [0.500, 0.500, 0.286], [0.333, 0.667, 0.500], [0.000, 0.500, 0.286], [0.500, 0.000, 0.286], [0.000, 0.000, 0.000], [0.500, 0.500, 0.714], [0.000, 0.500, 0.714], [0.667, 0.333, 0.000], [0.667, 0.333, 0.500], [0.000, 0.000, 0.500]]}

***

5.
{"formula": "NbNiGe", "functional": "PBEsol", "state": "optimized geometry", "ef_ev_per_atom": -0.5651, "lattice_angstrom": [[-0.732, -3.638, 0.556], [5.802, -1.448, -1.835], [2.276, 0.573, 6.744]], "species": ["Ge", "Nb", "Nb", "Ge", "Nb", "Ge", "Nb", "Ni", "Ni", "Ni", "Ni", "Ge"], "frac_coords": [[0.250, 0.281, 0.116], [0.250, 0.517, 0.678], [0.750, 0.983, 0.178], [0.250, 0.781, 0.384], [0.750, 0.483, 0.322], [0.750, 0.719, 0.884], [0.250, 0.017, 0.822], [0.750, 0.341, 0.931], [0.250, 0.159, 0.431], [0.750, 0.841, 0.569], [0.250, 0.659, 0.069], [0.750, 0.219, 0.616]]}

***

6.
{"formula": "ReAsIr2", "functional": "PBEsol", "state": "optimized geometry", "ef_ev_per_atom": 0.3904, "lattice_angstrom": [[-0.992, -1.714, 3.879], [3.062, -0.341, 3.077], [-0.165, 2.548, 3.528]], "species": ["Ir", "Ir", "As", "Re"], "frac_coords": [[0.750, 0.750, 0.750], [0.000, 0.000, 0.000], [0.500, 0.500, 0.500], [0.250, 0.250, 0.250]]}

***

7.
{"formula": "LiSbSeI2", "functional": "PBEsol", "state": "optimized geometry", "relative_energy_mev_per_atom": 0, "formation_energy_uncorrected_ev_per_atom": 0.13, "lattice_angstrom": [[-2.896, -1.809, 4.267], [0.797, -5.396, -1.747], [4.792, -0.303, 3.124]], "species": ["Li", "Sb", "Se", "I", "I"], "frac_coords": [[0.500, 0.500, 0.500], [0.500, 0.000, 0.000], [0.000, 0.000, 0.000], [0.000, 0.500, 0.000], [0.000, 0.000, 0.500]]}

***

8.
{"formula": "TlAuBr2", "functional": "PBEsol", "state": "optimized geometry", "relative_energy_mev_per_atom": 77, "formation_energy_uncorrected_ev_per_atom": -0.25, "lattice_angstrom": [[4.051, 0.000, 0.000], [2.026, 5.322, 0.083], [2.026, 1.759, 5.024]], "species": ["Au", "Br", "Tl", "Br"], "frac_coords": [[0.000, 0.500, 0.500], [0.299, 0.701, 0.701], [0.500, 0.000, 0.000], [0.701, 0.299, 0.299]]}

***

| no. | spin magnetization (μB per formula unit) |
| --- | --- |
| 1 | 0.0 |
| 2 | 0.0 |
| 3 | 0.0 |
| 4 | 3.4 |
| 5 | 0.0 |
| 6 | 0.0 |
| 7 | 0.9 |
| 8 | 0.0 |